1.
A plane-wave DFT calculation with GGA-PBE was carried out for LuCuSnPt after structural relaxation.

```
16
Lattice="6.655 0.000 0.000 0.000 6.655 0.000 0.000 0.000 6.655" Properties=species:S:1:pos:R:3 pbc="T T T"
Lu 0.000 0.000 0.000
Lu 0.000 3.328 3.328
Lu 3.328 0.000 3.328
Lu 3.328 3.328 0.000
Cu 1.664 1.664 4.992
Cu 1.664 4.992 1.664
Cu 4.992 1.664 1.664
Cu 4.992 4.992 4.992
Sn 0.000 0.000 3.328
Sn 0.000 3.328 0.000
Sn 3.328 0.000 0.000
Sn 3.328 3.328 3.328
Pt 1.664 1.664 1.664
Pt 1.664 4.992 4.992
Pt 4.992 1.664 4.992
Pt 4.992 4.992 1.664
```

## Properties
**Energy relative to the elements**: -0.6883 eV per atom
**E**: -85.66 eV per cell
**Density of states at the Fermi level**: 11.6 states/eV/cell

2.
A plane-wave DFT calculation with GGA-PBE was carried out for Dy2SbSe after structural relaxation.

```
12
Lattice="4.243 0.000 0.000 -2.121 3.674 0.000 0.000 0.000 20.690" Properties=species:S:1:pos:R:3 pbc="T T T"
Dy 0.000 0.000 5.089
Dy 0.000 0.000 15.600
Dy 0.000 2.449 8.704
Dy 0.000 2.449 18.882
Dy 2.121 1.225 1.807
Dy 2.121 1.225 11.986
Sb 0.000 0.000 0.000
Sb 0.000 2.449 13.793
Sb 2.121 1.225 6.897
Se 0.000 0.000 10.345
Se 0.000 2.449 3.448
Se 2.121 1.225 17.241
```

## Properties
**E**: -67.77 eV per cell
**Density of states at the Fermi level**: 5.7 states/eV/cell
**Formation energy (no corrections)**: -1.44 eV/atom